VASP calculation (PBE) on a relaxed structure of In4SbW.

Results
- DOS at the Fermi energy: 2.20 states/eV per cell
- Raw formation energy: 0.854 eV per atom
- Space-group type: F-43m

Lattice parameters (Å, degrees): 5.825 5.825 5.825 60.00 60.00 60.00
Positions (direct):
In 0.125 0.125 0.125
In 0.125 0.125 0.624
In 0.125 0.624 0.125
In 0.624 0.125 0.125
Sb 0.750 0.750 0.750
W 0.500 0.500 0.500